Record 1
## HfInIr (PBE-GGA)

Data for a relaxed structure of HfInIr.

Structure (POSCAR):
```
HfInIr
1.0
-1.3339 -2.1572 1.8707
-1.6875 -1.0700 -2.4371
5.7471 -2.1260 -1.0083
Ir Hf In
1 1 1
direct
0.9598 0.9598 0.9196
0.5966 0.5966 0.1931
0.2936 0.2936 0.5873
```

Energy relative to the elements ... -441 meV per atom
Space group ... I4mm, No. 107


Record 2
## YThMgAu (PBE-GGA)

Data for a relaxed structure of YThMgAu.

Structure (POSCAR):
```
YThMgAu
1.0
5.2856 0.0000 0.0000
2.6428 4.5774 0.0000
2.6428 1.5258 4.3156
Y Mg Au Th
1 1 1 1
direct
0.7500 0.7500 0.7500
0.0000 0.0000 0.0000
0.5000 0.5000 0.5000
0.2500 0.2500 0.2500
```

Energy relative to the elements ... -262 meV per atom
Space group ... F-43m, No. 216


Record 3
## AlSi2TcRh (PBE-GGA)

Data for a relaxed structure of AlSi2TcRh.

Structure (POSCAR):
```
AlSi2TcRh
1.0
-2.5312 -3.0870 2.2294
-1.9845 -1.4024 -4.1951
3.3161 -3.1029 -0.5314
Si Rh Tc Al
2 1 1 1
direct
0.0000 0.0000 0.5000
0.5000 0.0000 0.0000
0.0000 0.5000 0.0000
0.0000 0.0000 0.0000
0.5000 0.5000 0.5000
```

Uncorrected formation energy ... 3.53 eV per formula unit
Space group ... P4/mmm, No. 123


Record 4
## MoPb5 (PBE-GGA)

Data for a relaxed structure of MoPb5.

Structure (POSCAR):
```
MoPb5
1.0
-1.1172 0.8118 6.2754
-5.9541 -0.6815 2.3178
-1.4535 -5.0590 3.6853
Mo Pb
1 5
direct
0.0000 0.0000 0.0000
0.2500 0.2500 0.2500
0.6253 0.6253 0.6253
0.6253 0.6253 0.1240
0.1240 0.6253 0.6253
0.6253 0.1240 0.6253
```

Energy above the lowest structure with this stoichiometry ... 2.42 eV/f.u.
Energy relative to the elements ... 762 meV per atom
Space group ... F-43m, No. 216


Record 5
## MgScCuGe (PBE-GGA)

Data for a relaxed structure of MgScCuGe.

Structure (POSCAR):
```
MgScCuGe
1.0
4.6195 0.0000 0.0000
2.3098 4.0006 0.0000
2.3098 1.3335 3.7718
Sc Ge Mg Cu
1 1 1 1
direct
0.5000 0.5000 0.5000
0.2500 0.2500 0.2500
0.0000 0.0000 0.0000
0.7500 0.7500 0.7500
```

Energy relative to the elements ... -353 meV per atom
Space group ... F-43m, No. 216


Record 6
## Pm3B2Ir3 (PBE-GGA)

Data for a relaxed structure of Pm3B2Ir3.

Structure (POSCAR):
```
Pm3B2Ir3
1.0
3.7886 0.0000 0.0000
-1.8943 5.3693 0.0000
0.0000 0.0000 14.6347
Pm B Ir
6 4 6
direct
0.9416 0.8832 0.3908
0.0584 0.1168 0.8908
0.9416 0.8832 0.1092
0.0584 0.1168 0.6092
0.6518 0.3036 0.2500
0.3482 0.6964 0.7500
0.7713 0.5427 0.9002
0.2287 0.4573 0.4002
0.7713 0.5427 0.5998
0.2287 0.4573 0.0998
0.6770 0.3540 0.4559
0.3230 0.6460 0.9559
0.6770 0.3540 0.0441
0.3230 0.6460 0.5441
0.3415 0.6829 0.2500
0.6585 0.3171 0.7500
```

Energy relative to the elements ... -548 meV per atom
Space group ... Cmcm, No. 63